Record 1
The following is a DFT calculation (PBE-GGA) of crystalline RbDy2Cu3Te4Se at its relaxed geometry.

Results
* magnetic moment: 0.000 μB per atom
* space-group type: No. 63
* final energy: -94.5 eV for the cell shown

Lattice parameters (Å, degrees): 7.9877 7.9877 17.8328 90.00 90.00 148.64
Fractional positions:
Cu 0.4150 0.5850 0.4799
Cu 0.5850 0.4150 0.5201
Cu 0.3340 0.6660 0.7500
Cu 0.4150 0.5850 0.0201
Cu 0.5850 0.4150 0.9799
Cu 0.6660 0.3340 0.2500
Rb 0.9306 0.0694 0.2500
Rb 0.0694 0.9306 0.7500
Te 0.5550 0.4450 0.3760
Te 0.8373 0.1627 0.0716
Te 0.5550 0.4450 0.1240
Te 0.4450 0.5550 0.6240
Te 0.8373 0.1627 0.4284
Te 0.1627 0.8373 0.9284
Te 0.1627 0.8373 0.5716
Te 0.4450 0.5550 0.8760
Dy 0.1936 0.8064 0.0979
Dy 0.1936 0.8064 0.4021
Dy 0.8064 0.1936 0.5979
Dy 0.8064 0.1936 0.9021
Se 0.7554 0.2446 0.7500
Se 0.2446 0.7554 0.2500



Record 2
The following is a DFT calculation (PBE-GGA) of crystalline K4CuAs2Au at its relaxed geometry.

Results
* space-group type: No. 12
* final energy: -24.3 eV for the cell shown

Lattice parameters (Å, degrees): 6.3248 6.3248 6.0710 90.66 90.66 105.50
Fractional positions:
K 0.3222 0.9789 0.7511
K 0.6778 0.0211 0.2489
K 0.0211 0.6778 0.2489
K 0.9789 0.3222 0.7511
As 0.2494 0.2494 0.2661
As 0.7506 0.7506 0.7339
Cu 0.5000 0.5000 0.5000
Au 0.5000 0.5000 0.0000